Record 1
Material: Sr2SiSb
Method: DFT, PBE
State: relaxed

For the relative energy among the computed polymorphs, the calculation gives 170 meV/atom. As for the crystal system: monoclinic.

The structure belongs to space group C2/m (No. 12); the cell edges are 9.1777, 3.7171 and 7.9636 Å and the angles 90.00°, 100.63° and 90.00°. The distinct sites, in fractional coordinates, are Sr at (0.2449, 0.0000, 0.2355), Si at (0.0000, 0.5000, 0.0000) and Sb at (0.0000, 0.0000, 0.5000).

Record 2
Material: SrSiSb2
Method: DFT, PBE
State: relaxed

As for the crystal system: tetragonal.

The structure belongs to space group I4/mmm (No. 139); the cell edges are 4.7559, 4.7559 and 9.5525 Å and the angles 90.00°, 90.00° and 90.00°. The distinct sites, in fractional coordinates, are Sr at (0.0000, 0.0000, 0.0000), Si at (0.0000, 0.0000, 0.5000) and Sb at (0.0000, 0.5000, 0.2500).

Record 3
Material: Sr2SiSb
Method: DFT, PBE
State: relaxed

For the relative energy among the computed polymorphs, the calculation gives 183 meV/atom. As for the crystal system: orthorhombic.

The structure belongs to space group Pmm2 (No. 25); the cell edges are 3.6661, 5.5256 and 6.5972 Å and the angles 90.00°, 90.00° and 90.00°. The distinct sites, in fractional coordinates, are Sr at (0.0000, 0.0000, 0.0000), Sr at (0.5000, 0.5000, 0.4993), Si at (0.5000, 0.5000, 0.9992) and Sb at (0.0000, 0.0000, 0.5001).

Record 4
Material: Sr2SiSb
Method: DFT, PBE
State: relaxed

For the relative energy among the computed polymorphs, the calculation gives 0 meV/atom. As for the crystal system: monoclinic.

The structure belongs to space group Cm (No. 8); the cell edges are 12.8263, 4.0771 and 5.0596 Å and the angles 90.00°, 113.15° and 90.00°. The distinct sites, in fractional coordinates, are Sr at (0.0000, 0.0000, 0.0000), Sr at (0.2304, 0.0000, 0.7290), Si at (0.2705, 0.5000, 0.2680) and Sb at (0.4412, 0.0000, 0.4415).

Record 5
Material: Sr2SiSb
Method: DFT, PBE
State: relaxed

For the relative energy among the computed polymorphs, the calculation gives 181 meV/atom. As for the crystal system: trigonal.

The structure belongs to space group R-3m (No. 166, hexagonal axes); the cell edges are 4.0719, 4.0719 and 28.0341 Å and the angles 90.00°, 90.00° and 120.00°. The distinct sites, in fractional coordinates, are Sr at (0.0000, 0.0000, 0.2441), Si at (0.0000, 0.0000, 0.5000) and Sb at (0.0000, 0.0000, 0.0000).

Record 6
Material: SrSiSb2
Method: DFT, PBE
State: relaxed

As for the crystal system: tetragonal.

The structure belongs to space group I-4m2 (No. 119); the cell edges are 4.5168, 4.5168 and 10.5651 Å and the angles 90.00°, 90.00° and 90.00°. The distinct sites, in fractional coordinates, are Sr at (0.0000, 0.0000, 0.0000), Si at (0.0000, 0.5000, 0.2500), Sb at (0.0000, 0.0000, 0.5000) and Sb at (0.0000, 0.5000, 0.7500).

What did we get for E? Answer: -28.3, -31.4, -14.1, -29.6, -42.2, -31.4 eV per cell, in the order shown.
What did we get for formation energy without anion corrections? Answer: -0.305, -0.093, -0.291, -0.475, -0.293, -0.081 eV/atom, in the order shown.